Computed, not measured: an optimized crystal structure of ZrFe2Si at the GGA-PBE level of DFT.

Results
* ΔE_f (raw): 0.13 eV/atom
* SG: R-3m
* VASP energy: -30.4 eV per cell

Cell: 7.5098 7.5098 7.5098 Å, 23.53 23.53 23.53°
Closest atoms and distances in Å follow each position.
Element x y z (fractional)
Zr  0.0000  0.0000  0.0000  6 Fe 2.74, 6 Zr 3.06
Fe  0.2379  0.2379  0.2379  3 Si 2.36
Fe  0.7621  0.7621  0.7621  3 Si 2.36
Si  0.5000  0.5000  0.5000  6 Fe 2.36

***

Computed, not measured: an optimized crystal structure of SrCa2Sn at the GGA-PBE level of DFT.

Results
* DFT formation energy: -157 kJ/mol of formula units
* SG: P4/mmm
* VASP energy: -11.3 eV per cell

Cell: 5.1088 5.1088 5.1950 Å, 90.00 90.00 90.00°
Closest atoms and distances in Å follow each position.
Element x y z (fractional)
Sr  0.0000  0.0000  0.0000  4 Sn 3.61, 8 Ca 3.64
Ca  0.0000  0.5000  0.5000  4 Ca 3.61, 4 Sn 3.64, 4 Sr 3.64
Ca  0.5000  0.0000  0.5000  4 Ca 3.61, 4 Sn 3.64, 4 Sr 3.64
Sn  0.5000  0.5000  0.0000  4 Sr 3.61, 8 Ca 3.64

***

Computed, not measured: an optimized crystal structure of ZnTeMo4 at the GGA-PBE level of DFT.

Results
* ΔE_f (raw): 0.56 eV/atom
* SG: F-43m
* VASP energy: -44.4 eV per cell

Cell: 5.3305 5.3305 5.3305 Å, 60.00 60.00 60.00°
Closest atoms and distances in Å follow each position.
Element x y z (fractional)
Zn  0.0000  0.0000  0.0000  12 Mo 3.12, 4 Te 3.26
Te  0.2500  0.2500  0.2500  12 Mo 3.13, 4 Zn 3.26
Mo  0.1205  0.6265  0.6265  6 Mo 2.63-2.70
Mo  0.6265  0.1205  0.6265  6 Mo 2.63-2.70
Mo  0.6265  0.6265  0.1205  6 Mo 2.63-2.70
Mo  0.6265  0.6265  0.6265  6 Mo 2.63-2.70

***

Computed, not measured: an optimized crystal structure of ZnSiHg2 at the GGA-PBE level of DFT.

Results
* offset from the most stable computed form: 53 meV per atom
* ΔE_f (raw): 0.29 eV/atom
* SG: R3m
* VASP energy: -6.1 eV per cell

Cell: 8.2639 8.2639 8.2639 Å, 24.27 24.27 24.27°
Closest atoms and distances in Å follow each position.
Element x y z (fractional)
Zn  0.0000  0.0000  0.0000  3 Si 2.56, 3 Hg 2.86
Si  0.2672  0.2672  0.2672  3 Zn 2.56, 3 Hg 2.83
Hg  0.5173  0.5173  0.5173  3 Si 2.83, 3 Hg 3.11
Hg  0.7516  0.7516  0.7516  3 Zn 2.86, 3 Hg 3.11

***

Computed, not measured: an optimized crystal structure of LaCeY2Se4 at the GGA-PBE level of DFT.

Results
* ΔE_f (raw): -1.82 eV/atom
* SG: I4/mmm
* VASP energy: -52.3 eV per cell

Cell: 7.2389 7.2389 7.2389 Å, 131.80 131.80 70.55°
Closest atoms and distances in Å follow each position.
Element x y z (fractional)
La  0.0000  0.0000  0.0000  6 Se 2.96-2.99
Ce  0.5000  0.5000  0.0000  6 Se 2.92-2.96
Y  0.2500  0.7500  0.5000  6 Se 2.95-2.96
Y  0.7500  0.2500  0.5000  6 Se 2.95-2.96
Se  0.0000  0.5000  0.5000  2 Y 2.95, 2 La 2.96, 2 Ce 2.96
Se  0.2526  0.2526  0.0000  1 Ce 2.92, 4 Y 2.96, 1 La 2.99
Se  0.5000  0.0000  0.5000  2 Y 2.95, 2 La 2.96, 2 Ce 2.96
Se  0.7474  0.7474  0.0000  1 Ce 2.92, 4 Y 2.96, 1 La 2.99

***

Computed, not measured: an optimized crystal structure of La2Al9Co3 at the GGA-PBE level of DFT.

Results
* DFT formation energy: -667 kJ/mol of formula units
* SG: C2/c
* VASP energy: -143.5 eV per cell

Cell: 7.5627 7.5627 10.5627 Å, 111.35 111.35 59.43°
Closest atoms and distances in Å follow each position.
Element x y z (fractional)
La  0.0866  0.2524  0.2493  11 Al 3.03-3.20
La  0.2524  0.0866  0.7493  11 Al 3.03-3.20
La  0.7476  0.9134  0.2507  11 Al 3.03-3.20
La  0.9134  0.7476  0.7507  11 Al 3.03-3.20
Al  0.0235  0.8546  0.0692  3 Co 2.57-2.61, 4 Al 2.69-2.85
Al  0.1454  0.9765  0.4308  3 Co 2.57-2.61, 4 Al 2.69-2.85
Al  0.1935  0.3566  0.5656  3 Co 2.56-2.61, 5 Al 2.70-2.85
Al  0.2138  0.5806  0.2531  2 Co 2.56-2.61, 5 Al 2.72-2.83
Al  0.3194  0.4887  0.9595  3 Co 2.56-2.57, 3 Al 2.63-2.70
Al  0.3566  0.1935  0.0656  3 Co 2.56-2.61, 5 Al 2.70-2.85
Al  0.3694  0.6306  0.7500  2 Co 2.58, 4 Al 2.72-2.80
Al  0.4194  0.7862  0.2469  2 Co 2.56-2.61, 5 Al 2.72-2.83
Al  0.4887  0.3194  0.4595  3 Co 2.56-2.57, 3 Al 2.63-2.70
Al  0.5113  0.6806  0.5405  3 Co 2.56-2.57, 3 Al 2.63-2.70
Al  0.5806  0.2138  0.7531  2 Co 2.56-2.61, 5 Al 2.72-2.83
Al  0.6306  0.3694  0.2500  2 Co 2.58, 4 Al 2.72-2.80
Al  0.6434  0.8065  0.9344  3 Co 2.56-2.61, 5 Al 2.70-2.85
Al  0.6806  0.5113  0.0405  3 Co 2.56-2.57, 3 Al 2.63-2.70
Al  0.7862  0.4194  0.7469  2 Co 2.56-2.61, 5 Al 2.72-2.83
Al  0.8065  0.6434  0.4344  3 Co 2.56-2.61, 5 Al 2.70-2.85
Al  0.8546  0.0235  0.5692  3 Co 2.57-2.61, 4 Al 2.69-2.85
Al  0.9765  0.1454  0.9308  3 Co 2.57-2.61, 4 Al 2.69-2.85
Co  0.0000  0.5000  0.0000  8 Al 2.56-2.61
Co  0.1607  0.6694  0.4985  8 Al 2.56-2.61
Co  0.3306  0.8393  0.0015  8 Al 2.56-2.61
Co  0.5000  0.0000  0.5000  8 Al 2.56-2.61
Co  0.6694  0.1607  0.9985  8 Al 2.56-2.61
Co  0.8393  0.3306  0.5015  8 Al 2.56-2.61

***

Computed, not measured: an optimized crystal structure of PrSnTe2O at the GGA-PBE level of DFT.

Results
* ΔE_f (raw): -1.49 eV/atom
* SG: P4/nmm
* VASP energy: -54.9 eV per cell

Cell: 4.1564 4.1564 16.7533 Å, 90.00 90.00 90.00°
Closest atoms and distances in Å follow each position.
Element x y z (fractional)
Pr  0.2500  0.2500  0.0704  4 O 2.39
Pr  0.7500  0.7500  0.9296  4 O 2.39
Sn  0.2500  0.2500  0.6534  5 Te 2.80-3.06
Sn  0.7500  0.7500  0.3466  5 Te 2.80-3.06
Te  0.2500  0.2500  0.3982  4 Sn 3.06
Te  0.2500  0.2500  0.8208  1 Sn 2.80
Te  0.7500  0.7500  0.1792  1 Sn 2.80
Te  0.7500  0.7500  0.6018  4 Sn 3.06
O  0.2500  0.7500  0.0000  4 Pr 2.39
O  0.7500  0.2500  0.0000  4 Pr 2.39

***

Computed, not measured: an optimized crystal structure of TlCo2Si2 at the GGA-PBE level of DFT.

Results
* offset from the most stable computed form: 216 meV per atom
* ΔE_f (raw): 0.08 eV/atom
* SG: P4/mbm
* VASP energy: -54.1 eV per cell

Cell: 7.1366 7.1366 2.7610 Å, 90.00 90.00 90.00°
Closest atoms and distances in Å follow each position.
Element x y z (fractional)
Tl  0.0000  0.0000  0.0000  4 Co 2.76, 2 Tl 2.76
Tl  0.5000  0.5000  0.0000  4 Co 2.76, 2 Tl 2.76
Co  0.1403  0.3597  0.0000  6 Si 2.41-2.64
Co  0.3597  0.8597  0.0000  6 Si 2.41-2.64
Co  0.6403  0.1403  0.0000  6 Si 2.41-2.64
Co  0.8597  0.6403  0.0000  6 Si 2.41-2.64
Si  0.1372  0.6372  0.5000  6 Co 2.41-2.64
Si  0.3628  0.1372  0.5000  6 Co 2.41-2.64
Si  0.6372  0.8628  0.5000  6 Co 2.41-2.64
Si  0.8628  0.3628  0.5000  6 Co 2.41-2.64

***

Question: What is the VASP energy in the second record?
Answer: -11.3 eV per cell